Record 1
The following is a PBE calculation of a relaxed structure of InSb2Cl, from Alexandria via LeMat-Bulk.

```
4
Lattice="5.5128 0.0000 0.0000 0.0000 5.5128 0.0000 0.0000 0.0000 3.4295" Properties=species:S:1:pos:R:3 pbc="T T T"
In 0.0000 0.0000 0.0000
Sb 0.0000 2.7564 1.7148
Sb 2.7564 0.0000 1.7148
Cl 2.7564 2.7564 0.0000
```

## Properties
The value obtained for the total energy is -3.114 eV per atom. The calculation puts the uncorrected formation energy at 0.37 eV/f.u.



Record 2
The following is a PBE calculation of a relaxed structure of InSbCl3, from Alexandria via LeMat-Bulk.

```
5
Lattice="5.5164 0.0000 0.0000 0.0000 5.5164 0.0000 0.0000 0.0000 5.5164" Properties=species:S:1:pos:R:3 pbc="T T T"
In 0.0000 0.0000 0.0000
Sb 2.7582 2.7582 2.7582
Cl 0.0000 2.7582 2.7582
Cl 2.7582 0.0000 2.7582
Cl 2.7582 2.7582 0.0000
```

## Properties
The value obtained for the total energy is -3.042 eV per atom. The calculation puts the uncorrected formation energy at -2.81 eV/f.u.



Record 3
The following is a PBE calculation of a relaxed structure of InSbCl2, from Alexandria via LeMat-Bulk.

```
4
Lattice="6.2977 -1.7493 0.0000 6.2977 1.7493 0.0000 -2.5888 0.0000 5.1319" Properties=species:S:1:pos:R:3 pbc="T T T"
In 0.0000 0.0000 0.0000
Sb 0.5913 0.0000 4.8725
Cl 3.0670 0.0000 2.1591
Cl 6.3782 0.0000 2.0549
```

## Properties
The value obtained for the total energy is -3.098 eV per atom. The calculation puts the uncorrected formation energy at -1.84 eV/f.u.



Record 4
The following is a PBE calculation of a relaxed structure of InSb2Cl, from Alexandria via LeMat-Bulk.

```
4
Lattice="3.2726 0.0000 0.0000 0.0000 3.2726 0.0000 0.0000 0.0000 9.6339" Properties=species:S:1:pos:R:3 pbc="T T T"
In 0.0000 0.0000 0.0000
Sb 1.6363 1.6363 2.5028
Sb 1.6363 1.6363 7.1311
Cl 0.0000 0.0000 4.8169
```

## Properties
The value obtained for the total energy is -3.159 eV per atom. The calculation puts the uncorrected formation energy at 0.19 eV/f.u.



Record 5
The following is a PBE calculation of a relaxed structure of InSbCl2, from Alexandria via LeMat-Bulk.

```
4
Lattice="3.4171 -4.4854 0.0000 3.4171 4.4854 0.0000 0.0000 0.0000 3.2949" Properties=species:S:1:pos:R:3 pbc="T T T"
In 0.0000 0.0000 0.0000
Sb 3.4171 0.0000 0.0000
Cl 1.7085 2.2427 1.6475
Cl 1.7085 -2.2427 1.6475
```

## Properties
The value obtained for the total energy is -2.881 eV per atom. The calculation puts the uncorrected formation energy at -0.97 eV/f.u.



Record 6
The following is a PBE calculation of a relaxed structure of Sr2InSbCl, from Alexandria via LeMat-Bulk.

```
5
Lattice="6.3940 0.0000 0.0000 0.0000 6.3940 0.0000 0.0000 0.0000 5.1390" Properties=species:S:1:pos:R:3 pbc="T T T"
Sr 0.0000 3.1970 0.0000
Sr 3.1970 0.0000 0.0000
In 0.0000 0.0000 0.0000
Sb 3.1970 3.1970 2.5695
Cl 0.0000 0.0000 2.5695
```

## Properties
The value obtained for the total energy is -2.693 eV per atom. The calculation puts the uncorrected formation energy at -1.39 eV/f.u.



Record 7
The following is a PBE calculation of a relaxed structure of InSb2TeCl, from Alexandria via LeMat-Bulk.

```
5
Lattice="5.7696 0.0000 0.0000 0.0000 5.7696 0.0000 0.0000 0.0000 6.3411" Properties=species:S:1:pos:R:3 pbc="T T T"
In 0.0000 0.0000 0.0000
Sb 0.0000 2.8848 3.1706
Sb 2.8848 0.0000 3.1706
Te 2.8848 2.8848 0.0000
Cl 2.8848 2.8848 3.1706
```

## Properties
The value obtained for the total energy is -2.488 eV per atom. The calculation puts the uncorrected formation energy at 3.53 eV/f.u.



Record 8
The following is a PBE calculation of a relaxed structure of InSbTe2Cl, from Alexandria via LeMat-Bulk.

```
5
Lattice="5.6217 0.0000 0.0000 0.0000 5.6217 0.0000 0.0000 0.0000 5.7662" Properties=species:S:1:pos:R:3 pbc="T T T"
In 0.0000 0.0000 0.0000
Sb 0.0000 0.0000 2.8831
Te 0.0000 2.8109 0.0000
Te 2.8109 0.0000 0.0000
Cl 2.8109 2.8109 2.8831
```

## Properties
The value obtained for the total energy is -2.482 eV per atom. The calculation puts the uncorrected formation energy at 2.58 eV/f.u.



Record 9
The following is a PBE calculation of a relaxed structure of InSbTe2Cl, from Alexandria via LeMat-Bulk.

```
5
Lattice="5.6761 0.0000 0.0000 0.0000 5.6761 0.0000 0.0000 0.0000 5.2253" Properties=species:S:1:pos:R:3 pbc="T T T"
In 0.0000 0.0000 0.0000
Sb 2.8381 2.8381 0.0000
Te 0.0000 2.8381 2.6126
Te 2.8381 0.0000 2.6126
Cl 2.8381 2.8381 2.6126
```

## Properties
The value obtained for the total energy is -2.477 eV per atom. The calculation puts the uncorrected formation energy at 2.60 eV/f.u.



Record 10
The following is a PBE calculation of a relaxed structure of InSb2TeCl, from Alexandria via LeMat-Bulk.

```
5
Lattice="5.7076 0.0000 0.0000 0.0000 5.7076 0.0000 0.0000 0.0000 5.6184" Properties=species:S:1:pos:R:3 pbc="T T T"
In 0.0000 0.0000 0.0000
Sb 0.0000 2.8538 0.0000
Sb 2.8538 0.0000 0.0000
Te 0.0000 0.0000 2.8092
Cl 2.8538 2.8538 2.8092
```

## Properties
The value obtained for the total energy is -2.617 eV per atom. The calculation puts the uncorrected formation energy at 2.89 eV/f.u.



Record 11
The following is a PBE calculation of a relaxed structure of Tl2InSbCl6, from Alexandria via LeMat-Bulk.

```
10
Lattice="3.9057 2.2550 6.6065 -3.9057 2.2550 6.6065 0.0000 -4.5099 6.6065" Properties=species:S:1:pos:R:3 pbc="T T T"
Tl 0.0000 0.0000 0.0000
Tl 0.0000 0.0000 9.7403
In 0.0000 0.0000 4.1391
Sb 0.0000 0.0000 13.9571
Cl -1.6370 -2.6924 8.8017
Cl -2.0639 0.3248 12.3305
Cl -1.5132 2.7639 8.8017
Cl 0.7507 -1.9498 12.3305
Cl 3.1502 -0.0715 8.8017
Cl 1.3132 1.6250 12.3305
```

## Properties
The value obtained for the total energy is -3.204 eV per atom. The calculation puts the uncorrected formation energy at -9.36 eV/f.u.



Record 12
The following is a PBE calculation of a relaxed structure of VInSbCl6, from Alexandria via LeMat-Bulk.

```
9
Lattice="6.7644 0.0000 0.0000 -3.3822 5.8581 0.0000 0.0000 0.0000 6.9940" Properties=species:S:1:pos:R:3 pbc="T T T"
V 0.0000 0.0000 0.0000
In 3.3822 1.9527 3.4970
Sb 0.0000 3.9054 0.0000
Cl -0.8866 1.8246 1.4504
Cl -2.2454 4.1781 5.5436
Cl 0.8866 1.8246 5.5436
Cl -1.3588 5.7137 1.4504
Cl 2.2454 4.1781 1.4504
Cl 1.3588 5.7137 5.5436
```

## Properties
The value obtained for the total energy is -3.951 eV per atom. The calculation puts the uncorrected formation energy at -8.50 eV/f.u.